LuTlCoRe: optimized geometry, PBE-GGA.

```
LuTlCoRe
1.0
6.658 0.000 0.000
0.000 6.658 0.000
0.000 0.000 6.658
Lu Tl Co Re
4 4 4 4
direct
0.000 0.000 0.000
0.000 0.500 0.500
0.500 0.000 0.500
0.500 0.500 0.000
0.250 0.250 0.250
0.250 0.750 0.750
0.750 0.250 0.750
0.750 0.750 0.250
0.000 0.000 0.500
0.000 0.500 0.000
0.500 0.000 0.000
0.500 0.500 0.500
0.250 0.250 0.750
0.250 0.750 0.250
0.750 0.250 0.250
0.750 0.750 0.750
```

spin magnetization = 3.4 μB/f.u.
DFT total energy = -6.0064 eV/atom

Pr2NdAl2Co4: optimized geometry, PBE-GGA.

```
Pr2NdAl2Co4
1.0
5.109 -2.036 0.000
5.109 2.036 0.000
-1.293 0.000 8.261
Pr Nd Al Co
2 1 2 4
direct
0.125 0.125 0.378
0.875 0.875 0.622
0.500 0.500 0.000
0.176 0.176 0.784
0.824 0.824 0.216
0.239 0.239 0.082
0.414 0.414 0.362
0.586 0.586 0.638
0.761 0.761 0.918
```

spin magnetization = 0.1 μB/f.u.
DFT total energy = -5.8266 eV/atom

Cs2GdYS4: optimized geometry, PBE-GGA.

```
Cs2GdYS4
1.0
4.118 0.000 0.000
-2.059 3.566 0.000
0.000 0.000 16.066
Cs Gd Y S
2 1 1 4
direct
0.333 0.667 0.250
0.667 0.333 0.750
0.000 0.000 0.000
0.000 0.000 0.500
0.333 0.667 0.591
0.333 0.667 0.908
0.667 0.333 0.092
0.667 0.333 0.409
```

spin magnetization = 0.0 μB/f.u.
DFT total energy = -5.5037 eV/atom

NaSnBPt: optimized geometry, PBE-GGA.

```
NaSnBPt
1.0
6.405 0.000 0.000
0.000 6.405 0.000
0.000 0.000 6.405
Na Sn B Pt
4 4 4 4
direct
0.000 0.000 0.000
0.000 0.500 0.500
0.500 0.000 0.500
0.500 0.500 0.000
0.250 0.250 0.750
0.250 0.750 0.250
0.750 0.250 0.250
0.750 0.750 0.750
0.000 0.000 0.500
0.000 0.500 0.000
0.500 0.000 0.000
0.500 0.500 0.500
0.250 0.250 0.250
0.250 0.750 0.750
0.750 0.250 0.750
0.750 0.750 0.250
```

spin magnetization = 0.0 μB/f.u.
DFT total energy = -3.7967 eV/atom

CsHfAgTe2Se: optimized geometry, PBE-GGA.

```
CsHfAgTe2Se
1.0
9.345 0.000 0.000
0.000 4.159 0.000
-4.409 0.000 9.925
Cs Hf Ag Te Se
2 2 2 4 2
direct
0.238 0.250 0.229
0.762 0.750 0.771
0.177 0.750 0.650
0.823 0.250 0.350
0.426 0.250 0.894
0.574 0.750 0.106
0.238 0.750 0.930
0.386 0.250 0.625
0.614 0.750 0.375
0.762 0.250 0.070
0.023 0.750 0.376
0.977 0.250 0.624
```

spin magnetization = 0.0 μB/f.u.
DFT total energy = -4.8166 eV/atom

TaGe2: optimized geometry, PBE-GGA.

```
TaGe2
1.0
5.007 0.000 0.000
-2.504 4.337 0.000
0.000 0.000 6.810
Ta Ge
3 6
direct
0.000 0.500 0.167
0.500 0.000 0.500
0.500 0.500 0.833
0.165 0.329 0.500
0.165 0.835 0.833
0.329 0.165 0.167
0.671 0.835 0.167
0.835 0.165 0.833
0.835 0.671 0.500
```

spin magnetization = 0.0 μB/f.u.
DFT total energy = -7.2534 eV/atom

Copy entry 3 word for word.
Cs2GdYS4: optimized geometry, PBE-GGA.

```
Cs2GdYS4
1.0
4.118 0.000 0.000
-2.059 3.566 0.000
0.000 0.000 16.066
Cs Gd Y S
2 1 1 4
direct
0.333 0.667 0.250
0.667 0.333 0.750
0.000 0.000 0.000
0.000 0.000 0.500
0.333 0.667 0.591
0.333 0.667 0.908
0.667 0.333 0.092
0.667 0.333 0.409
```

spin magnetization = 0.0 μB/f.u.
DFT total energy = -5.5037 eV/atom